IrC: optimized geometry, PBE.

Geometry as POSCAR:
```
IrC
1.0
-1.5783 -1.5100 2.7180
3.3050 0.2992 -1.0706
0.2901 2.6330 1.6313
C Ir
1 1
direct
0.0000 0.0000 0.0000
0.5000 0.5000 0.5000
```

For the energy above the most stable polymorph in this dataset, the calculation gives 19.87 kcal/mol of atoms. The formation energy comes out at 2.638 eV per formula unit.

***

NbCoSb: optimized geometry, PBE.

Geometry as POSCAR:
```
NbCoSb
1.0
5.8806 0.0000 0.0000
-2.9403 5.0928 0.0000
0.0000 0.0000 10.6516
Nb Co Sb
6 6 6
direct
0.5000 0.0000 0.6667
0.0000 0.0000 0.5000
0.0000 0.0000 0.8333
0.0000 0.0000 0.1667
0.5000 0.5000 0.0000
0.0000 0.5000 0.3333
0.3896 0.7791 0.1667
0.7791 0.3896 0.8333
0.6104 0.3896 0.5000
0.6104 0.2209 0.1667
0.3896 0.6104 0.5000
0.2209 0.6104 0.8333
0.5000 0.5000 0.2855
0.0000 0.5000 0.6189
0.5000 0.5000 0.7145
0.0000 0.5000 0.0478
0.5000 0.0000 0.9522
0.5000 0.0000 0.3811
```

The value obtained for the formation energy without anion corrections is 245 meV/atom.

***

KTl2SeCl: optimized geometry, PBE.

Geometry as POSCAR:
```
KTl2SeCl
1.0
4.2098 0.0000 0.0000
0.0000 7.8497 0.7077
0.0000 -0.3168 10.4656
K Tl Se Cl
2 4 2 2
direct
0.7500 0.2406 0.9992
0.2500 0.7594 0.0008
0.2500 0.6612 0.3701
0.2500 0.1182 0.3599
0.7500 0.8818 0.6401
0.7500 0.3388 0.6299
0.7500 0.8997 0.2356
0.2500 0.1003 0.7644
0.7500 0.5888 0.8368
0.2500 0.4112 0.1632
```

The value obtained for the formation energy without anion corrections is -912 meV/atom.

***

Ce2IrPd: optimized geometry, PBE.

Geometry as POSCAR:
```
Ce2IrPd
1.0
-0.8756 -1.9950 2.7609
-2.3022 -1.7544 -1.9979
5.1047 -4.6861 -1.7672
Ir Pd Ce
1 1 2
direct
0.5000 0.5000 0.0000
0.5000 0.5000 0.5000
0.0000 0.0000 0.7640
0.0000 0.0000 0.2360
```

The formation energy comes out at -2.641 eV per formula unit.

***

KY2HfI: optimized geometry, PBE.

Geometry as POSCAR:
```
KY2HfI
1.0
-1.1122 -4.4020 3.6323
4.6953 0.8848 2.5099
-2.6426 3.6772 3.6473
I Y K Hf
1 2 1 1
direct
0.0000 0.0000 0.0000
0.0000 0.0000 0.5000
0.5000 0.0000 0.0000
0.5000 0.5000 0.5000
0.0000 0.5000 0.0000
```

The value obtained for the formation energy without anion corrections is 635 meV/atom.

***

NpSN: optimized geometry, PBE.

Geometry as POSCAR:
```
NpSN
1.0
-0.7637 0.2286 3.1096
-2.9778 -1.0028 -0.6576
3.2300 -4.0839 -0.5634
Np S N
1 1 1
direct
0.7097 0.7097 0.4195
0.0166 0.0166 0.0331
0.2737 0.2737 0.5474
```

For the energy above the most stable polymorph in this dataset, the calculation gives 14.96 kcal/mol of atoms. The value obtained for the formation energy without anion corrections is -556 meV/atom.

***

Be4CrRu: optimized geometry, PBE.

Geometry as POSCAR:
```
Be4CrRu
1.0
4.2771 0.0000 0.0000
2.1386 3.7041 0.0000
2.1386 1.2347 3.4923
Be Cr Ru
4 1 1
direct
0.3756 0.3756 0.8731
0.3756 0.3756 0.3756
0.3756 0.8731 0.3756
0.8731 0.3756 0.3756
0.7500 0.7500 0.7500
0.0000 0.0000 0.0000
```

The formation energy comes out at -2.026 eV per formula unit.

***

NaZn2Cd2: optimized geometry, PBE.

Geometry as POSCAR:
```
NaZn2Cd2
1.0
4.0164 0.0000 0.0000
0.0000 4.0164 0.0000
2.0082 2.0082 6.8784
Na Zn Cd
1 2 2
direct
0.0000 0.0000 0.0000
0.7500 0.2500 0.5000
0.2500 0.7500 0.5000
0.3946 0.3946 0.2108
0.6054 0.6054 0.7892
```

For the energy above the most stable polymorph in this dataset, the calculation gives 1.49 kcal/mol of atoms. The formation energy comes out at 0.131 eV per formula unit.